Record 1
# GGA-PBE NbNiH2, optimized geometry
# DOS(E_F) = 0.56 states/eV per atom
# Calculated volume = 71.24 Å³/cell
# Theoretical density = 7.16 g cm⁻³
# Energy = -45.6 eV/cell
# Relative energy among the computed polymorphs = 0.089 eV/atom
data_NbNiH2
_cell_length_a 3.9856
_cell_length_b 3.9856
_cell_length_c 5.2968
_cell_angle_alpha 67.90
_cell_angle_beta 67.90
_cell_angle_gamma 90.00
_space_group_name_H-M_alt 'P 1'
_space_group_IT_number 1
_space_group_name_Hall 'P 1'
loop_
_atom_site_label
_atom_site_type_symbol
_atom_site_fract_x
_atom_site_fract_y
_atom_site_fract_z
_atom_site_occupancy
H1 H 0.8750 0.8100 0.7500 1
H2 H 0.1900 0.6250 0.2500 1
H3 H 0.3750 0.4400 0.7500 1
H4 H 0.5600 0.1250 0.2500 1
Nb1 Nb 0.7500 0.2500 0.5000 1
Nb2 Nb 0.0000 0.0000 0.0000 1
Ni1 Ni 0.2500 0.7500 0.5000 1
Ni2 Ni 0.5000 0.5000 0.0000 1



Record 2
# GGA-PBE Tl5Pb2Au, optimized geometry
# DOS(E_F) = 0.44 states/eV per atom
# Calculated volume = 478.43 Å³/cell
# Theoretical density = 11.34 g cm⁻³
# Energy = -45.1 eV/cell
data_Tl5Pb2Au
_cell_length_a 4.5375
_cell_length_b 6.1652
_cell_length_c 18.3933
_cell_angle_alpha 90.00
_cell_angle_beta 90.00
_cell_angle_gamma 111.59
_space_group_name_H-M_alt 'P 1'
_space_group_IT_number 1
_space_group_name_Hall 'P 1'
loop_
_atom_site_label
_atom_site_type_symbol
_atom_site_fract_x
_atom_site_fract_y
_atom_site_fract_z
_atom_site_occupancy
Pb1 Pb 0.7604 0.5208 0.3448 1
Pb2 Pb 0.7604 0.5208 0.1552 1
Pb3 Pb 0.2396 0.4792 0.6552 1
Pb4 Pb 0.2396 0.4792 0.8448 1
Tl1 Tl 0.6433 0.2866 0.5251 1
Tl2 Tl 0.4694 0.9388 0.2500 1
Tl3 Tl 0.3567 0.7134 0.4749 1
Tl4 Tl 0.5306 0.0612 0.7500 1
Tl5 Tl 0.3567 0.7134 0.0251 1
Tl6 Tl 0.9538 0.9076 0.6060 1
Tl7 Tl 0.0462 0.0924 0.3940 1
Tl8 Tl 0.9538 0.9076 0.8940 1
Tl9 Tl 0.0462 0.0924 0.1060 1
Tl10 Tl 0.6433 0.2866 0.9749 1
Au1 Au 0.1830 0.3660 0.2500 1
Au2 Au 0.8170 0.6340 0.7500 1



Record 3
# GGA-PBE CeUNi10, optimized geometry
# DOS(E_F) = 1.42 states/eV per atom
# Calculated volume = 162.23 Å³/cell
# Theoretical density = 9.88 g cm⁻³
# Energy = -78.4 eV/cell
data_CeUNi10
_cell_length_a 3.9854
_cell_length_b 4.8510
_cell_length_c 8.3915
_cell_angle_alpha 90.00
_cell_angle_beta 90.00
_cell_angle_gamma 90.00
_space_group_name_H-M_alt 'P 1'
_space_group_IT_number 1
_space_group_name_Hall 'P 1'
loop_
_atom_site_label
_atom_site_type_symbol
_atom_site_fract_x
_atom_site_fract_y
_atom_site_fract_z
_atom_site_occupancy
Ni1 Ni 0.5000 0.0000 0.5000 1
Ni2 Ni 0.0000 0.0000 0.3378 1
Ni3 Ni 0.5000 0.7457 0.2556 1
Ni4 Ni 0.5000 0.7457 0.7444 1
Ni5 Ni 0.0000 0.0000 0.6622 1
Ni6 Ni 0.5000 0.2543 0.2556 1
Ni7 Ni 0.0000 0.5000 0.8272 1
Ni8 Ni 0.0000 0.5000 0.1728 1
Ni9 Ni 0.5000 0.5000 0.0000 1
Ni10 Ni 0.5000 0.2543 0.7444 1
Ce1 Ce 0.0000 0.0000 0.0000 1
U1 U 0.0000 0.5000 0.5000 1



Record 4
# GGA-PBE Zn2InSb, optimized geometry
# DOS(E_F) = 0.60 states/eV per atom
# Formation energy from raw total energies = 151 meV/atom
# Calculated volume = 88.63 Å³/cell
# Theoretical density = 6.88 g cm⁻³
# Energy = -8.8 eV/cell
# Relative energy among the computed polymorphs = 0.059 eV/atom
data_Zn2InSb
_cell_length_a 8.4464
_cell_length_b 8.4464
_cell_length_c 8.4464
_cell_angle_alpha 24.15
_cell_angle_beta 24.15
_cell_angle_gamma 24.15
_space_group_name_H-M_alt 'P 1'
_space_group_IT_number 1
_space_group_name_Hall 'P 1'
loop_
_atom_site_label
_atom_site_type_symbol
_atom_site_fract_x
_atom_site_fract_y
_atom_site_fract_z
_atom_site_occupancy
Zn1 Zn 0.5002 0.5002 0.5002 1
Zn2 Zn 0.9998 0.9998 0.9998 1
In1 In 0.2500 0.2500 0.2500 1
Sb1 Sb 0.7500 0.7500 0.7500 1



Record 5
# GGA-PBE Hf2PaTe, optimized geometry
# DOS(E_F) = 1.70 states/eV per atom
# Formation energy from raw total energies = 295 meV/atom
# Calculated volume = 97.07 Å³/cell
# Theoretical density = 12.24 g cm⁻³
# Energy = -31.4 eV/cell
# Relative energy among the computed polymorphs = 0.374 eV/atom
data_Hf2PaTe
_cell_length_a 3.2406
_cell_length_b 3.2406
_cell_length_c 10.8366
_cell_angle_alpha 81.40
_cell_angle_beta 81.40
_cell_angle_gamma 60.00
_space_group_name_H-M_alt 'P 1'
_space_group_IT_number 1
_space_group_name_Hall 'P 1'
loop_
_atom_site_label
_atom_site_type_symbol
_atom_site_fract_x
_atom_site_fract_y
_atom_site_fract_z
_atom_site_occupancy
Pa1 Pa 0.0000 0.0000 0.0000 1
Te1 Te 0.5000 0.5000 0.5000 1
Hf1 Hf 0.0943 0.0943 0.7172 1
Hf2 Hf 0.9057 0.9057 0.2828 1



Record 6
# GGA-PBE CsAcI4, optimized geometry
# DOS(E_F) = 0.00 states/eV per atom
# Formation energy from raw total energies = -1524 meV/atom
# Calculated volume = 659.62 Å³/cell
# Theoretical density = 4.37 g cm⁻³
# Energy = -40.6 eV/cell
# Relative energy among the computed polymorphs = 0.015 eV/atom
data_CsAcI4
_cell_length_a 8.5799
_cell_length_b 8.6894
_cell_length_c 9.8385
_cell_angle_alpha 91.97
_cell_angle_beta 64.15
_cell_angle_gamma 90.00
_space_group_name_H-M_alt 'P 1'
_space_group_IT_number 1
_space_group_name_Hall 'P 1'
loop_
_atom_site_label
_atom_site_type_symbol
_atom_site_fract_x
_atom_site_fract_y
_atom_site_fract_z
_atom_site_occupancy
I1 I 0.7578 0.0000 0.0000 1
I2 I 0.2961 0.1637 0.4078 1
I3 I 0.6236 0.5658 0.2115 1
I4 I 0.7039 0.8363 0.5922 1
I5 I 0.8351 0.4342 0.7885 1
I6 I 0.1649 0.5658 0.2115 1
I7 I 0.2422 0.0000 0.0000 1
I8 I 0.3764 0.4342 0.7885 1
Cs1 Cs 0.2153 0.7443 0.5694 1
Cs2 Cs 0.7847 0.2557 0.4306 1
Ac1 Ac 0.4672 0.2776 0.0656 1
Ac2 Ac 0.5328 0.7224 0.9344 1



Record 7
# GGA-PBE TcRh3O, optimized geometry
# DOS(E_F) = 2.26 states/eV per atom
# Formation energy from raw total energies = 1807 meV/atom
# Calculated volume = 100.50 Å³/cell
# Theoretical density = 6.98 g cm⁻³
# Energy = -28.3 eV/cell
# Relative energy among the computed polymorphs = 1.363 eV/atom
data_TcRh3O
_cell_length_a 4.6494
_cell_length_b 4.6494
_cell_length_c 4.6494
_cell_angle_alpha 90.00
_cell_angle_beta 90.00
_cell_angle_gamma 90.00
_space_group_name_H-M_alt 'P 1'
_space_group_IT_number 1
_space_group_name_Hall 'P 1'
loop_
_atom_site_label
_atom_site_type_symbol
_atom_site_fract_x
_atom_site_fract_y
_atom_site_fract_z
_atom_site_occupancy
O1 O 0.5000 0.5000 0.5000 1
Rh1 Rh 0.5000 0.0000 0.0000 1
Rh2 Rh 0.0000 0.0000 0.5000 1
Rh3 Rh 0.0000 0.5000 0.0000 1
Tc1 Tc 0.0000 0.0000 0.0000 1



Record 8
# GGA-PBE TaIn2Cl2, optimized geometry
# DOS(E_F) = 0.57 states/eV per atom
# Formation energy from raw total energies = 521 meV/atom
# Calculated volume = 121.84 Å³/cell
# Theoretical density = 6.56 g cm⁻³
# Energy = -18.4 eV/cell
# Relative energy among the computed polymorphs = 0.094 eV/atom
data_TaIn2Cl2
_cell_length_a 4.1536
_cell_length_b 4.1536
_cell_length_c 7.6485
_cell_angle_alpha 74.24
_cell_angle_beta 74.24
_cell_angle_gamma 90.00
_space_group_name_H-M_alt 'P 1'
_space_group_IT_number 1
_space_group_name_Hall 'P 1'
loop_
_atom_site_label
_atom_site_type_symbol
_atom_site_fract_x
_atom_site_fract_y
_atom_site_fract_z
_atom_site_occupancy
Cl1 Cl 0.7500 0.2500 0.5000 1
Cl2 Cl 0.2500 0.7500 0.5000 1
In1 In 0.3873 0.3873 0.2255 1
In2 In 0.6127 0.6127 0.7745 1
Ta1 Ta 0.0000 0.0000 0.0000 1



In μB per atom, the M_tot values for the records above are, in order, 0.00 0.00 0.02 0.00 0.00 0.00 0.00 0.53.